VASP calculation (PBE) on a relaxed K2LiMgH5 crystal.

Summary:
The electronic total energy comes out at -2.71 eV per atom.

Unit cell a=3.494 b=7.687 c=10.421 alpha=90.00 beta=90.00 gamma=103.14
Atoms (fractional coordinates):
H: 0.324 0.648 0.614
H: 0.343 0.687 0.006
H: 0.311 0.622 0.376
H: 0.488 0.976 0.316
H: 0.049 0.097 0.029
H: 0.689 0.378 0.876
H: 0.512 0.024 0.816
H: 0.676 0.352 0.114
H: 0.657 0.313 0.506
H: 0.951 0.903 0.529
K: 0.876 0.753 0.814
K: 0.879 0.759 0.185
K: 0.124 0.247 0.314
K: 0.121 0.241 0.685
Li: 0.777 0.553 0.513
Li: 0.223 0.447 0.013
Mg: 0.422 0.843 0.471
Mg: 0.578 0.157 0.971